# 1
A plane-wave DFT calculation with PBE was carried out for crystalline Na12Cd5Sn3 at its relaxed geometry. Values from VASP.

```
&SYSTEM
  ibrav = 0, nat = 80, ntyp = 3
/
ATOMIC_SPECIES
Na 22.99 Na.upf
Sn 118.71 Sn.upf
Cd 112.41 Cd.upf
CELL_PARAMETERS angstrom
15.835 0.000 0.000
-5.278 14.930 0.000
-5.278 -7.465 12.929
ATOMIC_POSITIONS angstrom
Na -0.719 0.685 3.026
Na 3.525 6.578 5.341
Na 11.443 3.282 3.439
Na 8.003 3.769 4.562
Na 10.642 -3.696 8.367
Na 10.472 1.666 0.920
Na 5.998 6.780 9.903
Na -3.359 8.150 9.903
Na -0.252 5.600 0.983
Na 5.530 1.865 11.946
Na 7.666 7.546 2.106
Na 9.671 -5.069 11.027
Na 4.559 -1.454 4.358
Na 7.198 8.234 7.384
Na 9.837 0.769 5.545
Na -1.920 -0.769 5.545
Na -1.753 -4.182 9.491
Na -0.886 8.352 5.341
Na 5.530 -1.784 11.806
Na 2.388 -1.865 11.946
Na 2.724 -2.103 7.448
Na 7.032 2.396 1.903
Na -2.388 -0.081 10.823
Na 6.164 -0.887 7.588
Na 0.719 8.919 8.571
Na -1.753 5.069 11.027
Na 1.920 6.010 8.571
Na 5.193 2.103 7.448
Na -2.724 3.696 8.367
Na 10.808 7.384 2.106
Na 2.388 1.784 11.806
Na 0.085 5.362 5.482
Na 8.637 -0.685 3.026
Na 8.003 13.264 0.920
Na -4.559 6.696 7.384
Na -5.364 11.161 4.562
Na 2.891 5.681 1.123
Na -2.724 -5.799 12.010
Na -0.252 9.248 1.123
Na -5.530 0.081 10.823
Na -6.164 4.182 9.491
Na 2.554 9.568 5.482
Na -4.393 12.534 1.903
Na -5.193 5.799 12.010
Na 1.753 0.887 7.588
Na 3.359 1.454 4.358
Na 2.891 9.330 0.983
Na 7.032 11.647 3.439
Sn 1.320 -0.933 4.849
Sn 9.237 4.666 1.616
Sn 6.598 0.933 4.849
Sn 3.959 8.398 8.081
Sn -1.320 6.532 8.081
Sn 3.959 0.000 9.697
Sn 11.876 0.000 3.232
Sn 9.237 10.264 1.616
Sn -3.959 -2.799 11.313
Sn 1.320 7.465 3.232
Sn -3.959 2.799 11.313
Sn -6.598 7.465 9.697
Cd -5.278 3.732 6.465
Cd 6.598 -4.666 11.313
Cd 0.000 0.000 0.000
Cd -2.639 -3.732 6.465
Cd 1.320 -3.732 9.697
Cd 6.598 6.532 4.849
Cd -1.320 0.933 8.081
Cd 3.959 2.799 1.616
Cd 1.320 4.666 11.313
Cd -1.320 3.732 3.232
Cd 9.237 -0.933 8.081
Cd 6.598 3.732 9.697
Cd 5.278 7.465 0.000
Cd -3.959 8.398 4.849
Cd -1.320 12.130 1.616
Cd 2.639 3.732 6.465
Cd 7.918 0.000 0.000
Cd 5.278 -3.732 6.465
Cd -2.639 7.465 0.000
Cd 3.959 11.197 3.232
```

Calculated values
The calculation puts the energy at -1.50 eV/atom. Its calculated volume is 3057 Å³/cell. The size of the total moment comes out at 0.0 μB per formula unit. The energy of formation is 0.119 eV/atom.



# 2
A plane-wave DFT calculation with PBE was carried out for crystalline NaCd6Sn4 at its relaxed geometry. Values from VASP.

```
&SYSTEM
  ibrav = 0, nat = 11, ntyp = 3
/
ATOMIC_SPECIES
Cd 112.41 Cd.upf
Sn 118.71 Sn.upf
Na 22.99 Na.upf
CELL_PARAMETERS angstrom
-4.226 -7.228 -1.238
2.115 4.714 6.704
-1.789 8.250 -0.615
ATOMIC_POSITIONS angstrom
Cd -0.744 9.272 2.157
Cd 1.167 7.541 5.741
Cd -2.122 -2.306 0.018
Cd -3.008 0.511 -0.927
Cd -1.056 -1.257 2.733
Cd -1.875 4.192 3.025
Sn -2.088 1.518 1.847
Sn 1.041 3.733 3.884
Sn -0.811 5.410 0.411
Sn -1.716 8.038 4.799
Na 0.000 0.000 0.000
```

Calculated values
The calculation puts the energy at -2.02 eV/atom. Its calculated volume is 291 Å³/cell. The size of the total moment comes out at 0.0 μB per formula unit. The energy of formation is 0.056 eV/atom.



# 3
A plane-wave DFT calculation with PBE was carried out for crystalline Na3Cd8Sn at its relaxed geometry. Values from VASP.

```
&SYSTEM
  ibrav = 0, nat = 12, ntyp = 3
/
ATOMIC_SPECIES
Na 22.99 Na.upf
Cd 112.41 Cd.upf
Sn 118.71 Sn.upf
CELL_PARAMETERS angstrom
-0.642 -0.592 5.921
3.393 -3.911 3.001
7.600 5.378 4.386
ATOMIC_POSITIONS angstrom
Na 2.774 -4.480 8.927
Na 5.148 0.410 6.648
Na 7.684 3.020 7.184
Cd 4.325 -2.914 6.227
Cd 2.631 -0.961 4.728
Cd 9.012 1.942 10.245
Cd 2.310 -1.256 7.685
Cd 3.848 1.516 3.593
Cd 7.806 -0.524 11.383
Cd 8.128 -0.227 8.417
Cd 6.107 1.435 9.879
Sn 5.247 -1.934 9.450
```

Calculated values
The calculation puts the energy at -1.35 eV/atom. Its calculated volume is 301 Å³/cell. The size of the total moment comes out at 0.0 μB per formula unit. The energy of formation is -0.075 eV/atom.



# 4
A plane-wave DFT calculation with PBE was carried out for crystalline Na2Cd5Sn2 at its relaxed geometry. Values from VASP.

```
&SYSTEM
  ibrav = 0, nat = 18, ntyp = 3
/
ATOMIC_SPECIES
Cd 112.41 Cd.upf
Sn 118.71 Sn.upf
Na 22.99 Na.upf
CELL_PARAMETERS angstrom
8.772 0.000 0.000
0.000 5.811 0.000
-4.386 -2.906 8.998
ATOMIC_POSITIONS angstrom
Cd 6.173 -0.417 4.499
Cd 3.976 2.468 5.992
Cd -2.203 -1.873 7.248
Cd -1.787 2.488 4.499
Cd 0.410 -0.438 5.992
Cd 0.410 -0.438 3.005
Cd 6.589 1.033 1.750
Cd -2.183 1.033 7.248
Cd 6.569 3.939 1.750
Cd 3.976 2.468 3.005
Sn 1.285 2.465 4.499
Sn 0.000 5.384 0.000
Sn 4.386 2.478 0.000
Sn 3.101 -0.441 4.499
Na 3.280 5.382 1.250
Na 3.280 -0.429 7.747
Na 1.106 2.477 7.747
Na 1.106 2.477 1.250
```

Calculated values
The calculation puts the energy at -1.75 eV/atom. Its calculated volume is 459 Å³/cell. The size of the total moment comes out at 0.0 μB per formula unit. The energy of formation is -0.063 eV/atom.